[1]
ErLu2Co: optimized geometry, GGA-PBE.

The value obtained for the offset from the most stable computed form is 358 meV per atom. Its crystal system is cubic.

The structure belongs to space group Fm-3m (No. 225); the cell edges are 7.176, 7.176 and 7.176 Å and the angles 90.00°, 90.00° and 90.00°. The inequivalent atoms are Er at (0.000, 0.000, 0.000), Lu at (0.250, 0.250, 0.250) and Co at (0.000, 0.000, 0.500).

[2]
CaCeS2: optimized geometry, GGA-PBE.

The value obtained for the offset from the most stable computed form is 53 meV per atom. The energy relative to the elements, uncorrected comes out at -1.969 eV/atom. Its crystal system is hexagonal.

The structure belongs to space group P6_3/mmc (No. 194); the cell edges are 3.9821, 3.9821 and 13.7066 Å and the angles 90.00°, 90.00° and 120.00°. The inequivalent atoms are Ca at (0.3333, 0.6667, 0.2500), Ce at (0.0000, 0.0000, 0.0000) and S at (0.3333, 0.6667, 0.6247).

[3]
Ho2UAg2S6: optimized geometry, GGA-PBE.

The energy relative to the elements, uncorrected comes out at -1.311 eV/atom. Its crystal system is monoclinic.

The structure belongs to space group C2/m (No. 12); the cell edges are 6.940, 12.112 and 6.545 Å and the angles 90.00°, 98.00° and 90.00°. The inequivalent atoms are Ho at (0.000, 0.165, 0.000), U at (0.000, 0.500, 0.000), Ag at (0.000, 0.377, 0.500), S at (0.194, 0.333, 0.220) and S at (0.203, 0.000, 0.222).

[4]
NbHRh3: optimized geometry, GGA-PBE.

The value obtained for the offset from the most stable computed form is 290 meV per atom. Its crystal system is monoclinic.

The structure belongs to space group C2/c (No. 15); the cell edges are 11.938, 8.243 and 5.552 Å and the angles 90.00°, 103.48° and 90.00°. The inequivalent atoms are Nb at (0.000, 0.029, 0.250), Nb at (0.000, 0.355, 0.750), H at (0.133, 0.319, 0.330), Rh at (0.155, 0.174, 0.071), Rh at (0.162, 0.499, 0.586) and Rh at (0.164, 0.167, 0.587).

no.,E (eV per atom)
1,-4.93
2,-6.02
3,-5.94
4,-7.22